No. 1
First-principles (PBE-GGA) data for an optimized crystal structure of SrCd10In2, as listed in Alexandria via LeMat-Bulk.

**E_form**: -0.088 eV per atom
**Final energy**: -17.5 eV per cell
**Space-group type**: Fmmm (69)

Cell: 10.233 7.883 7.836 Å, 81.23 49.59 49.18°
Atoms (fractional coordinates):
Sr: 0.000 0.000 0.000
Cd: 0.000 0.500 0.000
Cd: 0.006 0.357 0.643
Cd: 0.287 0.497 0.503
Cd: 0.357 0.006 0.994
Cd: 0.497 0.287 0.713
Cd: 0.500 0.000 0.500
Cd: 0.503 0.713 0.287
Cd: 0.643 0.994 0.006
Cd: 0.713 0.503 0.497
Cd: 0.994 0.643 0.357
In: 0.000 0.000 0.500
In: 0.500 0.500 0.000



No. 2
First-principles (PBE-GGA) data for an optimized crystal structure of Sr3CdIn, as listed in Alexandria via LeMat-Bulk.

**E_form**: 0.039 eV per atom
**Final energy**: -8.5 eV per cell
**Energy above the most stable polymorph in this dataset**: 367 meV per atom
**Space-group type**: Pm-3m (221)

Cell: 6.400 6.400 6.400 Å, 90.00 90.00 90.00°
Atoms (fractional coordinates):
Sr: 0.000 0.000 0.500
Sr: 0.000 0.500 0.000
Sr: 0.500 0.000 0.000
Cd: 0.500 0.500 0.500
In: 0.000 0.000 0.000



No. 3
First-principles (PBE-GGA) data for an optimized crystal structure of Sr2CdIn, as listed in Alexandria via LeMat-Bulk.

**E_form**: -0.392 eV per atom
**Final energy**: -8.6 eV per cell
**Energy above the most stable polymorph in this dataset**: 3 meV per atom
**Space-group type**: P4/mmm (123)

Cell: 5.785 5.785 4.030 Å, 90.00 90.00 90.00°
Atoms (fractional coordinates):
Sr: 0.000 0.500 0.000
Sr: 0.500 0.000 0.000
Cd: 0.000 0.000 0.500
In: 0.500 0.500 0.500



No. 4
First-principles (PBE-GGA) data for an optimized crystal structure of SrCd2In, as listed in Alexandria via LeMat-Bulk.

**E_form**: -0.329 eV per atom
**Final energy**: -30.3 eV per cell
**Space-group type**: Amm2 (38)

Cell: 7.712 4.938 11.676 Å, 90.00 90.00 90.00°
Atoms (fractional coordinates):
Sr: 0.000 0.000 0.000
Sr: 0.000 0.500 0.500
Sr: 0.500 0.000 0.168
Sr: 0.500 0.500 0.668
Cd: 0.000 0.000 0.295
Cd: 0.000 0.500 0.795
Cd: 0.308 0.000 0.455
Cd: 0.308 0.500 0.955
Cd: 0.500 0.000 0.876
Cd: 0.500 0.500 0.376
Cd: 0.692 0.000 0.455
Cd: 0.692 0.500 0.955
In: 0.196 0.000 0.707
In: 0.196 0.500 0.207
In: 0.804 0.000 0.707
In: 0.804 0.500 0.207